# Ba2Li2YSe4, optimized geometry, DFT PBE
# calculated volume = 26.34 Å³ per atom
# ΔE_f (raw) = -1649.5 meV per atom
# total moment = 0.031 μB per atom
# E = -85.84 eV per cell
data_Ba2Li2YSe4
_cell_length_a 15.565
_cell_length_b 4.246
_cell_length_c 7.648
_cell_angle_alpha 90.00
_cell_angle_beta 110.29
_cell_angle_gamma 90.00
_space_group_name_H-M_alt 'C 1 2/m 1'
_space_group_IT_number 12
_space_group_name_Hall '-C 2y'
loop_
_atom_site_label
_atom_site_fract_x
_atom_site_fract_y
_atom_site_fract_z
_atom_site_occupancy
Ba1 0.134 0.000 0.058 1
Li1 0.180 0.500 0.493 1
Y1 0.000 0.000 0.500 1
Se1 0.018 0.500 0.253 1
Se2 0.203 0.000 0.691 1

# BaLi2Si, optimized geometry, DFT PBE
# calculated volume = 26.44 Å³ per atom
# ΔE_f (raw) = -13.8 meV per atom
# total moment = 0.000 μB per atom
# E = -11.23 eV per cell
data_BaLi2Si
_cell_length_a 3.633
_cell_length_b 3.633
_cell_length_c 8.011
_cell_angle_alpha 90.00
_cell_angle_beta 90.00
_cell_angle_gamma 90.00
_space_group_name_H-M_alt 'P 4 m m'
_space_group_IT_number 99
_space_group_name_Hall 'P 4 -2'
loop_
_atom_site_label
_atom_site_fract_x
_atom_site_fract_y
_atom_site_fract_z
_atom_site_occupancy
Ba1 0.000 0.000 0.000 1
Li1 0.000 0.000 0.576 1
Li2 0.500 0.500 0.384 1
Si1 0.500 0.500 0.720 1

# BaLi2Si, optimized geometry, DFT PBE
# calculated volume = 28.69 Å³ per atom
# ΔE_f (raw) = -17.5 meV per atom
# total moment = 0.031 μB per atom
# E = -11.24 eV per cell
data_BaLi2Si
_cell_length_a 4.901
_cell_length_b 4.720
_cell_length_c 5.024
_cell_angle_alpha 90.00
_cell_angle_beta 99.11
_cell_angle_gamma 90.00
_space_group_name_H-M_alt 'P 1 2/m 1'
_space_group_IT_number 10
_space_group_name_Hall '-P 2y'
loop_
_atom_site_label
_atom_site_fract_x
_atom_site_fract_y
_atom_site_fract_z
_atom_site_occupancy
Ba1 0.000 0.000 0.000 1
Li1 0.336 0.500 0.649 1
Si1 0.500 0.000 0.500 1

# BaLi2Si, optimized geometry, DFT PBE
# calculated volume = 26.47 Å³ per atom
# ΔE_f (raw) = -232.7 meV per atom
# total moment = 0.000 μB per atom
# E = -24.21 eV per cell
data_BaLi2Si
_cell_length_a 8.071
_cell_length_b 4.660
_cell_length_c 6.248
_cell_angle_alpha 90.00
_cell_angle_beta 115.71
_cell_angle_gamma 90.00
_space_group_name_H-M_alt 'C 1 m 1'
_space_group_IT_number 8
_space_group_name_Hall 'C -2y'
loop_
_atom_site_label
_atom_site_fract_x
_atom_site_fract_y
_atom_site_fract_z
_atom_site_occupancy
Ba1 0.000 0.000 0.000 1
Li1 0.178 0.000 0.531 1
Li2 0.482 0.000 0.444 1
Si1 0.298 0.500 0.391 1

# BaLiSi, optimized geometry, DFT PBE
# calculated volume = 28.63 Å³ per atom
# ΔE_f (raw) = 266.8 meV per atom
# total moment = 0.000 μB per atom
# E = -16.92 eV per cell
data_BaLiSi
_cell_length_a 3.501
_cell_length_b 5.504
_cell_length_c 8.916
_cell_angle_alpha 90.00
_cell_angle_beta 90.00
_cell_angle_gamma 90.00
_space_group_name_H-M_alt 'P m m n'
_space_group_IT_number 59
loop_
_space_group_symop_operation_xyz
'x,y,z'
'-x,-y,-z'
'-x+1/2,-y+1/2,z'
'x+1/2,y+1/2,-z'
'x+1/2,-y,-z'
'-x+1/2,y,z'
'-x,y+1/2,-z'
'x,-y+1/2,z'
loop_
_atom_site_label
_atom_site_fract_x
_atom_site_fract_y
_atom_site_fract_z
_atom_site_occupancy
Ba1 0.250 0.250 0.086 1
Li1 0.250 0.750 0.558 1
Si1 0.250 0.750 0.267 1

# BaLiSi, optimized geometry, DFT PBE
# calculated volume = 29.07 Å³ per atom
# ΔE_f (raw) = -224.9 meV per atom
# total moment = 0.050 μB per atom
# E = -39.74 eV per cell
data_BaLiSi
_cell_length_a 4.763
_cell_length_b 7.821
_cell_length_c 9.362
_cell_angle_alpha 90.00
_cell_angle_beta 90.00
_cell_angle_gamma 90.00
_space_group_name_H-M_alt 'I m m m'
_space_group_IT_number 71
_space_group_name_Hall '-I 2 2'
loop_
_atom_site_label
_atom_site_fract_x
_atom_site_fract_y
_atom_site_fract_z
_atom_site_occupancy
Ba1 0.000 0.000 0.241 1
Li1 0.000 0.289 0.500 1
Si1 0.000 0.348 0.000 1

# BaLiSi2, optimized geometry, DFT PBE
# calculated volume = 24.85 Å³ per atom
# ΔE_f (raw) = -276.6 meV per atom
# total moment = 0.000 μB per atom
# E = -15.79 eV per cell
data_BaLiSi2
_cell_length_a 3.902
_cell_length_b 4.747
_cell_length_c 6.218
_cell_angle_alpha 107.53
_cell_angle_beta 90.14
_cell_angle_gamma 113.87
_space_group_name_H-M_alt 'P -1'
_space_group_IT_number 2
_space_group_name_Hall '-P 1'
loop_
_atom_site_label
_atom_site_fract_x
_atom_site_fract_y
_atom_site_fract_z
_atom_site_occupancy
Ba1 0.000 0.000 0.000 1
Li1 0.500 0.000 0.500 1
Si1 0.232 0.461 0.606 1

# BaLiSi2, optimized geometry, DFT PBE
# calculated volume = 23.33 Å³ per atom
# ΔE_f (raw) = 65.8 meV per atom
# total moment = 0.163 μB per atom
# E = -14.42 eV per cell
data_BaLiSi2
_cell_length_a 3.483
_cell_length_b 3.483
_cell_length_c 7.693
_cell_angle_alpha 90.00
_cell_angle_beta 90.00
_cell_angle_gamma 90.00
_space_group_name_H-M_alt 'P 4 m m'
_space_group_IT_number 99
_space_group_name_Hall 'P 4 -2'
loop_
_atom_site_label
_atom_site_fract_x
_atom_site_fract_y
_atom_site_fract_z
_atom_site_occupancy
Ba1 0.000 0.000 0.000 1
Li1 0.500 0.500 0.372 1
Si1 0.000 0.000 0.568 1
Si2 0.500 0.500 0.695 1

# BaLi2Si, optimized geometry, DFT PBE
# calculated volume = 24.66 Å³ per atom
# ΔE_f (raw) = -242.1 meV per atom
# total moment = 0.000 μB per atom
# E = -24.28 eV per cell
data_BaLi2Si
_cell_length_a 7.970
_cell_length_b 4.600
_cell_length_c 5.997
_cell_angle_alpha 90.00
_cell_angle_beta 116.19
_cell_angle_gamma 90.00
_space_group_name_H-M_alt 'C 1 2/m 1'
_space_group_IT_number 12
_space_group_name_Hall '-C 2y'
loop_
_atom_site_label
_atom_site_fract_x
_atom_site_fract_y
_atom_site_fract_z
_atom_site_occupancy
Ba1 0.000 0.000 0.000 1
Li1 0.192 0.000 0.577 1
Si1 0.000 0.500 0.500 1

# BaLiSi2, optimized geometry, DFT PBE
# calculated volume = 22.50 Å³ per atom
# ΔE_f (raw) = 451.9 meV per atom
# total moment = 0.000 μB per atom
# E = -38.63 eV per cell
data_BaLiSi2
_cell_length_a 3.2000
_cell_length_b 3.2000
_cell_length_c 30.4497
_cell_angle_alpha 90.00
_cell_angle_beta 90.00
_cell_angle_gamma 120.00
_space_group_name_H-M_alt 'R -3 m'
_space_group_IT_number 166
_space_group_name_Hall '-R 3 2"'
loop_
_atom_site_label
_atom_site_fract_x
_atom_site_fract_y
_atom_site_fract_z
_atom_site_occupancy
Ba1 0.0000 0.0000 0.0000 1
Li1 0.0000 0.0000 0.5000 1
Si1 0.0000 0.0000 0.2375 1

# BaLi3Si, optimized geometry, DFT PBE
# calculated volume = 24.63 Å³ per atom
# ΔE_f (raw) = -136.9 meV per atom
# total moment = 0.140 μB per atom
# E = -13.77 eV per cell
data_BaLi3Si
_cell_length_a 4.975
_cell_length_b 4.975
_cell_length_c 4.975
_cell_angle_alpha 90.00
_cell_angle_beta 90.00
_cell_angle_gamma 90.00
_space_group_name_H-M_alt 'P m -3 m'
_space_group_IT_number 221
_space_group_name_Hall '-P 4 2 3'
loop_
_atom_site_label
_atom_site_fract_x
_atom_site_fract_y
_atom_site_fract_z
_atom_site_occupancy
Ba1 0.000 0.000 0.000 1
Li1 0.000 0.500 0.500 1
Si1 0.500 0.500 0.500 1

# BaLiSi, optimized geometry, DFT PBE
# calculated volume = 28.10 Å³ per atom
# ΔE_f (raw) = -179.7 meV per atom
# total moment = 0.000 μB per atom
# E = -9.80 eV per cell
data_BaLiSi
_cell_length_a 4.9313
_cell_length_b 4.9313
_cell_length_c 4.0034
_cell_angle_alpha 90.00
_cell_angle_beta 90.00
_cell_angle_gamma 120.00
_space_group_name_H-M_alt 'P -6 m 2'
_space_group_IT_number 187
_space_group_name_Hall 'P -6 2'
loop_
_atom_site_label
_atom_site_fract_x
_atom_site_fract_y
_atom_site_fract_z
_atom_site_occupancy
Ba1 0.0000 0.0000 0.0000 1
Li1 0.3333 0.6667 0.5000 1
Si1 0.6667 0.3333 0.5000 1

Question: Which value of total moment does entry 12 give?
Answer: 0.000 μB per atom